1.
# YCuBi

YCuBi after structural relaxation (PBE, Alexandria).

Lattice parameters (Å, degrees): 4.5746 4.5748 6.8493 90.00 90.12 90.00
Fractional coordinates of all 6 atoms:
Y 0.2491 0.2500 0.2164
Y 0.7509 0.7500 0.7836
Cu 0.2501 0.7500 0.5000
Cu 0.7499 0.2500 0.5000
Bi 0.2508 0.2500 0.7534
Bi 0.7492 0.7500 0.2466

Computed properties:
Energy relative to the elements ... -393 meV/atom
Calculated density ... 8.37 g/cm³

=====

2.
# YCuBi

YCuBi after structural relaxation (PBE, Alexandria).

Lattice parameters (Å, degrees): 8.7214 8.7214 8.7214 29.83 29.83 29.83
Fractional coordinates of all 6 atoms:
Y 0.0000 0.0000 0.0000
Y 0.1647 0.1647 0.1647
Cu 0.7784 0.7784 0.7784
Cu 0.8794 0.8794 0.8794
Bi 0.4071 0.4071 0.4071
Bi 0.5883 0.5883 0.5883

Computed properties:
Energy relative to the elements ... -539 meV/atom
Calculated density ... 8.26 g/cm³

=====

3.
# Y3CuBi

Y3CuBi after structural relaxation (PBE, Alexandria).

Lattice parameters (Å, degrees): 8.1731 8.1731 5.0682 90.00 90.00 123.77
Fractional coordinates of all 10 atoms:
Y 0.0000 0.5000 0.5000
Y 0.1289 0.8711 0.0000
Y 0.3054 0.3054 0.5000
Y 0.5000 0.0000 0.5000
Y 0.6946 0.6946 0.5000
Y 0.8711 0.1289 0.0000
Cu 0.0889 0.9111 0.5000
Cu 0.9111 0.0889 0.5000
Bi 0.3594 0.6406 0.0000
Bi 0.6406 0.3594 0.0000

Computed properties:
Energy relative to the elements ... -281 meV/atom
Energy above the most stable polymorph in this dataset ... 0 meV per atom
Calculated density ... 6.36 g/cm³